Material: Gd2SnOs
Method: DFT, PBE
State: optimized geometry

Output
The theoretical density comes out at 10.7 g/cm³. Its space group is P4/mmm (123). For the formation energy from the elements, the calculation gives -0.415 eV per atom. The calculation puts the density of states at the Fermi level at 1.905 states/eV per cell. The total energy is -11.26 eV/atom.

```
Gd2SnOs
1.0
3.3901 0.0000 0.0000
0.0000 3.3901 0.0000
0.0000 0.0000 8.3928
Gd Sn Os
2 1 1
direct
0.0000 0.0000 0.2052
0.0000 0.0000 0.7948
0.5000 0.5000 0.5000
0.5000 0.5000 0.0000
```